1.
First-principles (PBE) data for a relaxed structure of Na3InAs2, as listed in Alexandria.

Output
Raw total energy   -149.269 eV for the cell shown

Lattice parameters (Å, degrees): 7.5893 9.8042 15.8527 87.15 90.00 90.00
With the nearest neighbours (Å) after each atom.
Atoms (fractional coordinates):
As (0.2593, 0.1215, 0.7916)  2 In 2.72-2.74, 3 Na 2.97-2.99
As (0.2372, 0.3485, 0.0390)  2 In 2.76-2.78, 3 Na 2.97-3.04
As (0.2407, 0.1215, 0.2916)  2 In 2.72-2.74, 3 Na 2.97-2.99
As (0.7372, 0.6515, 0.4610)  2 In 2.76-2.78, 3 Na 2.97-3.04
As (0.7224, 0.1284, 0.9773)  2 In 2.71-2.77, 2 Na 2.91-2.94
As (0.7407, 0.8785, 0.2084)  2 In 2.72-2.74, 3 Na 2.97-2.99
As (0.7776, 0.1284, 0.4773)  2 In 2.71-2.77, 2 Na 2.91-2.94
As (0.7126, 0.4073, 0.7260)  2 In 2.74-2.82, 2 Na 2.91-2.95
As (0.7874, 0.4073, 0.2260)  2 In 2.74-2.82, 2 Na 2.91-2.95
As (0.7593, 0.8785, 0.7084)  2 In 2.72-2.74, 3 Na 2.97-2.99
As (0.2776, 0.8716, 0.0227)  2 In 2.71-2.77, 2 Na 2.91-2.94
As (0.7628, 0.6515, 0.9610)  2 In 2.76-2.78, 3 Na 2.97-3.04
As (0.2628, 0.3485, 0.5390)  2 In 2.76-2.78, 3 Na 2.97-3.04
As (0.2224, 0.8716, 0.5227)  2 In 2.71-2.77, 2 Na 2.91-2.94
As (0.2874, 0.5927, 0.2740)  2 In 2.74-2.82, 2 Na 2.91-2.95
As (0.2126, 0.5927, 0.7740)  2 In 2.74-2.82, 2 Na 2.91-2.95
Na (0.0311, 0.8115, 0.3517)  5 As 3.16-3.52, 2 In 3.37-3.50, 3 Na 3.40-3.47
Na (0.6523, 0.1274, 0.7971)  4 As 2.91-2.99
Na (0.8477, 0.1274, 0.2971)  4 As 2.91-2.99
Na (0.9880, 0.4407, 0.3944)  4 As 3.04-3.28, 1 In 3.32, 1 Na 3.39
Na (0.4689, 0.8115, 0.8517)  5 As 3.16-3.52, 2 In 3.37-3.50, 3 Na 3.40-3.47
Na (0.0113, 0.3211, 0.8612)  4 As 2.97-3.32, 1 Na 3.27
Na (0.4731, 0.0660, 0.6056)  4 As 3.04-3.32
Na (0.8478, 0.3834, 0.0463)  4 As 2.91-2.98
Na (0.9689, 0.1885, 0.6483)  5 As 3.16-3.52, 2 In 3.37-3.50, 3 Na 3.40-3.47
Na (0.4880, 0.5593, 0.1056)  4 As 3.04-3.28, 1 In 3.32, 1 Na 3.39
Na (0.5269, 0.9340, 0.3944)  4 As 3.04-3.32
Na (0.9887, 0.6789, 0.1388)  4 As 2.97-3.32, 1 Na 3.27
Na (0.4887, 0.3211, 0.3612)  4 As 2.97-3.32, 1 Na 3.27
Na (0.5120, 0.4407, 0.8944)  4 As 3.04-3.28, 1 In 3.32, 1 Na 3.39
Na (0.5311, 0.1885, 0.1483)  5 As 3.16-3.52, 2 In 3.37-3.50, 3 Na 3.40-3.47
Na (0.6522, 0.3834, 0.5463)  4 As 2.91-2.98
Na (0.0120, 0.5593, 0.6056)  4 As 3.04-3.28, 1 In 3.32, 1 Na 3.39
Na (0.0269, 0.0660, 0.1056)  4 As 3.04-3.32
Na (0.3478, 0.6166, 0.4537)  4 As 2.91-2.98
Na (0.1522, 0.6166, 0.9537)  4 As 2.91-2.98
Na (0.1523, 0.8726, 0.7029)  4 As 2.91-2.99
Na (0.9731, 0.9340, 0.8944)  4 As 3.04-3.32
Na (0.3477, 0.8726, 0.2029)  4 As 2.91-2.99
Na (0.5113, 0.6789, 0.6388)  4 As 2.97-3.32, 1 Na 3.27
In (0.1402, 0.1246, 0.4578)  4 As 2.71-2.77
In (0.6518, 0.6384, 0.2913)  4 As 2.72-2.82
In (0.1518, 0.3616, 0.2087)  4 As 2.72-2.82
In (0.8598, 0.8754, 0.5422)  4 As 2.71-2.77
In (0.3482, 0.3616, 0.7087)  4 As 2.72-2.82
In (0.6402, 0.8754, 0.0422)  4 As 2.71-2.77
In (0.8482, 0.6384, 0.7913)  4 As 2.72-2.82
In (0.3598, 0.1246, 0.9578)  4 As 2.71-2.77

***

2.
First-principles (PBE) data for a relaxed structure of MnOsRu2, as listed in Alexandria.

Output
ΔE to the lowest computed polymorph   0.79 eV per formula unit
Raw total energy   -37.851 eV for the cell shown

Lattice parameters (Å, degrees): 5.1230 5.1230 5.1230 147.24 129.91 61.15
With the nearest neighbours (Å) after each atom.
Atoms (fractional coordinates):
Ru (0.5220, 0.5220, 0.0000)  2 Mn 2.48, 4 Ru 2.63
Ru (0.9780, 0.9780, 0.0000)  2 Mn 2.48, 4 Ru 2.63
Os (0.2500, 0.7500, 0.5000)  4 Mn 2.61, 4 Ru 2.80, 2 Os 2.89
Mn (0.7500, 0.2500, 0.5000)  4 Ru 2.48, 4 Os 2.61

***

3.
First-principles (PBE) data for a relaxed structure of PmNd3Cu3, as listed in Alexandria.

Output
Raw total energy   -63.455 eV for the cell shown

Lattice parameters (Å, degrees): 7.1690 7.1690 7.0346 90.65 90.65 95.44
With the nearest neighbours (Å) after each atom.
Atoms (fractional coordinates):
Pm (0.2552, 0.2552, 0.1298)  4 Cu 2.83-3.04
Pm (0.7448, 0.7448, 0.8702)  4 Cu 2.83-3.04
Nd (0.6529, 0.6529, 0.3743)  3 Cu 2.96-3.15
Nd (0.8261, 0.1739, 0.5000)  6 Cu 2.83-3.01
Nd (0.1739, 0.8261, 0.5000)  6 Cu 2.83-3.01
Nd (0.7399, 0.2601, 0.0000)  6 Cu 3.07-3.25
Nd (0.2601, 0.7399, 0.0000)  6 Cu 3.07-3.25
Nd (0.3471, 0.3471, 0.6257)  3 Cu 2.96-3.15
Cu (0.5054, 0.0169, 0.2962)  4 Nd 2.83-3.13, 1 Pm 2.84, 1 Cu 2.88
Cu (0.0583, 0.0583, 0.8277)  1 Cu 2.69, 1 Pm 2.83, 2 Nd 3.00
Cu (0.9417, 0.9417, 0.1723)  1 Cu 2.69, 1 Pm 2.83, 2 Nd 3.00
Cu (0.4946, 0.9831, 0.7038)  4 Nd 2.83-3.13, 1 Pm 2.84, 1 Cu 2.88
Cu (0.9831, 0.4946, 0.7038)  4 Nd 2.83-3.13, 1 Pm 2.84, 1 Cu 2.88
Cu (0.0169, 0.5054, 0.2962)  4 Nd 2.83-3.13, 1 Pm 2.84, 1 Cu 2.88